5
Lattice="-3.9528 -2.1420 -0.4483 2.1863 -3.9056 -0.6165 -0.0952 -0.7563 4.4534" Properties=species:S:1:pos:R:3 comment="SrBe3Ag PBE relaxed" m_tot_mub_per_cell=0.000 crystal_system=cubic spacegroup=Pm-3m ef_mev_per_atom=469 volume_a3_per_cell=92.23 pbc="T T T"
Sr -0.9309 -3.4019 1.6943
Be -1.9764 -1.0710 -0.2241
Be -0.0476 -0.3781 2.2267
Be 1.0931 -1.9528 -0.3083
Ag 0.0000 0.0000 0.0000

---

3
Lattice="-2.4360 4.4660 -0.1666 -2.2895 1.4915 -4.2943 -5.0816 0.1188 -0.2659" Properties=species:S:1:pos:R:3 comment="SrBeAg PBE relaxed" m_tot_mub_per_cell=0.000 crystal_system=cubic spacegroup=F-43m ef_mev_per_atom=811 volume_a3_per_cell=93.24 pbc="T T T"
Sr -2.4518 1.5191 -1.1817
Be -4.9036 3.0381 -2.3634
Ag 0.0000 0.0000 0.0000

---

4
Lattice="-3.0311 0.4345 -0.4120 -0.5011 -0.6774 2.9726 0.7824 7.1209 1.7547" Properties=species:S:1:pos:R:3 comment="SrBe2Ag PBE relaxed" m_tot_mub_per_cell=0.002 crystal_system=tetragonal spacegroup=P4mm ef_mev_per_atom=418 volume_a3_per_cell=70.41 pbc="T T T"
Be 0.0208 0.1895 0.0467
Be -1.6380 1.0450 1.5677
Ag -1.1154 5.8013 2.7397
Sr 0.3738 3.4026 0.8384

---

4
Lattice="4.8001 -0.0098 0.0000 0.0790 4.8000 0.0000 -2.4395 -2.3951 3.4034" Properties=species:S:1:pos:R:3 comment="SrBe2Ag PBE relaxed" m_tot_mub_per_cell=0.000 crystal_system=orthorhombic spacegroup=F222 ef_mev_per_atom=617 volume_a3_per_cell=78.42 pbc="T T T"
Be 2.4395 2.3951 3.4033
Be 0.0395 2.4000 1.7021
Ag 2.4000 -0.0049 1.7013
Sr 0.0000 0.0000 3.4033